[1]
A plane-wave DFT calculation with GGA-PBE was carried out for Li3AgPd6 after structural relaxation.

energy above the lowest structure with this stoichiometry = 0.119 eV per atom
total DFT energy (no corrections) = -4.1504 eV/atom
E_form = -0.175 eV/atom

Geometry as CIF:
```
data_Li3AgPd6
_chemical_formula_sum 'Li12 Ag4 Pd24'
_cell_length_a 9.575
_cell_length_b 11.296
_cell_length_c 5.427
_cell_angle_alpha 90.00
_cell_angle_beta 90.00
_cell_angle_gamma 90.00
_space_group_name_H-M_alt 'C m c 21'
_space_group_IT_number 36
_space_group_name_Hall 'C 2c -2'
loop_
_atom_site_label
_atom_site_type_symbol
_atom_site_fract_x
_atom_site_fract_y
_atom_site_fract_z
Li1 Li 0.000 0.001 0.000
Li2 Li 0.120 0.378 0.942
Ag1 Ag 0.000 0.204 0.267
Pd1 Pd 0.000 0.192 0.766
Pd2 Pd 0.000 0.428 0.495
Pd3 Pd 0.227 0.026 0.733
Pd4 Pd 0.237 0.289 0.549
```

***

[2]
A plane-wave DFT calculation with GGA-PBE was carried out for La6NdTh3 after structural relaxation.

total DFT energy (no corrections) = -5.4044 eV/atom
E_form = 0.255 eV/atom

Geometry as CIF:
```
data_La6NdTh3
_chemical_formula_sum 'La18 Nd3 Th9'
_cell_length_a 10.1573
_cell_length_b 10.1573
_cell_length_c 12.3800
_cell_angle_alpha 90.00
_cell_angle_beta 90.00
_cell_angle_gamma 120.00
_space_group_name_H-M_alt 'R 3'
_space_group_IT_number 146
_space_group_name_Hall 'R 3'
loop_
_atom_site_label
_atom_site_type_symbol
_atom_site_fract_x
_atom_site_fract_y
_atom_site_fract_z
La1 La 0.0120 0.3428 0.0000
La2 La 0.0145 0.6750 0.4975
Nd1 Nd 0.0000 0.0000 0.0789
Th1 Th 0.0000 0.0000 0.3235
Th2 Th 0.0000 0.0000 0.5795
Th3 Th 0.0000 0.0000 0.8262
```

***

[3]
A plane-wave DFT calculation with GGA-PBE was carried out for NaSeI2N after structural relaxation.

energy above the lowest structure with this stoichiometry = 0.000 eV per atom
total DFT energy (no corrections) = -2.9840 eV/atom
formation energy without anion corrections = 0.26 eV per atom

Geometry as CIF:
```
data_NaSeI2N
_chemical_formula_sum 'Na1 Se1 I2 N1'
_cell_length_a 6.170
_cell_length_b 6.170
_cell_length_c 3.756
_cell_angle_alpha 90.00
_cell_angle_beta 90.00
_cell_angle_gamma 90.00
_space_group_name_H-M_alt 'P 4/m m m'
_space_group_IT_number 123
_space_group_name_Hall '-P 4 2'
loop_
_atom_site_label
_atom_site_type_symbol
_atom_site_fract_x
_atom_site_fract_y
_atom_site_fract_z
Na1 Na 0.000 0.000 0.000
Se1 Se 0.500 0.500 0.500
I1 I 0.000 0.500 0.500
N1 N 0.500 0.500 0.000
```